Computed, not measured: crystalline VPtSe3 at its relaxed geometry at the PBE-GGA level of DFT.

## Properties
Formation energy (no corrections) in eV per atom: 0.445
D(E_F) in states/eV per cell: 6.5
Volume in Å³ per cell: 105.9
Distance to the lowest polymorph of the same formula in kcal/mol of atoms: 0.00
Spin magnetization in μB per atom: 0.00

Cell lengths 4.732, 4.732, 4.732 Å; angles 90.00, 90.00, 90.00 degrees
Sites, in units of the cell vectors:
V: 0.000 0.000 0.000
Pt: 0.500 0.500 0.500
Se: 0.000 0.000 0.500
Se: 0.000 0.500 0.000
Se: 0.500 0.000 0.000